Record 1
Density functional theory data (SCAN) for a crystal of NpScRu2 relaxed with PBEsol.

Results
Calculated formation energy, eV/atom: -0.28
Symmetry: Fm-3m (225)

abc: 4.573 4.573 4.573
angles: 60.00 60.00 60.00
Each line ends with the local moment (μB).
Sites, in units of the cell vectors:
Np: 0.000 0.000 0.000  3.48
Ru: 0.750 0.750 0.750  -0.38
Ru: 0.250 0.250 0.250  -0.38
Sc: 0.500 0.500 0.500  0.13

Record 2
Density functional theory data (SCAN) for a crystal of NpSi2Ru2 relaxed with PBEsol.

Results
Symmetry: I4/mmm (139)

abc: 4.094 4.094 5.578
angles: 111.53 111.53 90.00
Each line ends with the local moment (μB).
Sites, in units of the cell vectors:
Np: 0.000 0.000 0.000  3.64
Ru: 0.750 0.250 0.500  -0.16
Ru: 0.250 0.750 0.500  -0.16
Si: 0.374 0.374 0.747  -0.03
Si: 0.626 0.626 0.253  -0.03

Record 3
Density functional theory data (SCAN) for a crystal of NpS relaxed with PBEsol.

Results
Symmetry: Fm-3m (225)

abc: 3.808 3.808 3.808
angles: 60.00 60.00 60.00
Each line ends with the local moment (μB).
Sites, in units of the cell vectors:
Np: 0.000 0.000 0.000  3.93
S: 0.500 0.500 0.500  -0.14

Record 4
Density functional theory data (SCAN) for a crystal of Np3Se5 relaxed with PBEsol.

Results
Symmetry: Pnma (62)

abc: 7.516 8.127 11.709
angles: 90.00 90.00 90.00
Each line ends with the local moment (μB).
Sites, in units of the cell vectors:
Np: 0.023 0.502 0.320  3.89
Np: 0.477 0.998 0.820  3.89
Np: 0.977 0.002 0.680  3.89
Np: 0.523 0.498 0.180  3.89
Np: 0.977 0.498 0.680  3.89
Np: 0.523 0.002 0.180  3.89
Np: 0.023 0.998 0.320  3.89
Np: 0.477 0.502 0.820  3.89
Np: 0.083 0.250 0.010  3.54
Np: 0.417 0.250 0.510  3.54
Np: 0.917 0.750 0.990  3.54
Np: 0.583 0.750 0.490  3.54
Se: 0.172 0.948 0.094  -0.18
Se: 0.328 0.552 0.594  -0.18
Se: 0.828 0.448 0.906  -0.18
Se: 0.672 0.052 0.406  -0.18
Se: 0.828 0.052 0.906  -0.18
Se: 0.672 0.448 0.406  -0.18
Se: 0.172 0.552 0.094  -0.18
Se: 0.328 0.948 0.594  -0.18
Se: 0.467 0.250 0.999  -0.17
Se: 0.033 0.250 0.499  -0.17
Se: 0.533 0.750 0.001  -0.17
Se: 0.967 0.750 0.501  -0.17
Se: 0.828 0.250 0.188  -0.17
Se: 0.672 0.250 0.688  -0.17
Se: 0.172 0.750 0.812  -0.17
Se: 0.328 0.750 0.312  -0.17
Se: 0.296 0.250 0.278  -0.16
Se: 0.204 0.250 0.778  -0.16
Se: 0.704 0.750 0.722  -0.16
Se: 0.796 0.750 0.222  -0.16

Ordered final energy results: -48.009; -39.885; -59.535; -53.777; unit eV per atom.